Below is a geometry-optimized NaDyTm2 structure, with properties calculated at the GGA-PBE level.

Computed properties:
Formation energy   0.18 eV per atom
Polymorph energy (0 for the lowest one)   33 meV per atom
Size of the total moment   0.00 μB/f.u.
Space-group type   R-3m
V   391.6 Å³ per cell

a = 3.4620 Å, b = 3.4620 Å, c = 37.7260 Å
α = 90.00°, β = 90.00°, γ = 120.00°
With the nearest neighbours (Å) after each atom.
Element x y z (fractional)
1 Na 0.0000 0.0000 0.0000  6 Na 3.46, 2 Tm 3.48
2 Na 0.3333 0.6667 0.6667  6 Na 3.46, 2 Tm 3.48
3 Na 0.6667 0.3333 0.3333  6 Na 3.46, 2 Tm 3.48
4 Dy 0.0000 0.0000 0.5000  6 Tm 3.45, 6 Dy 3.46
5 Dy 0.3333 0.6667 0.1667  6 Tm 3.45, 6 Dy 3.46
6 Dy 0.6667 0.3333 0.8333  6 Tm 3.45, 6 Dy 3.46
7 Tm 0.0000 0.0000 0.0922  3 Dy 3.45, 6 Tm 3.46, 1 Na 3.48
8 Tm 0.0000 0.0000 0.9078  3 Dy 3.45, 6 Tm 3.46, 1 Na 3.48
9 Tm 0.3333 0.6667 0.5744  3 Dy 3.45, 6 Tm 3.46, 1 Na 3.48
10 Tm 0.3333 0.6667 0.7589  3 Dy 3.45, 6 Tm 3.46, 1 Na 3.48
11 Tm 0.6667 0.3333 0.2411  3 Dy 3.45, 6 Tm 3.46, 1 Na 3.48
12 Tm 0.6667 0.3333 0.4256  3 Dy 3.45, 6 Tm 3.46, 1 Na 3.48


Below is a geometry-optimized CsPtIN2 structure, with properties calculated at the GGA-PBE level.

Computed properties:
Polymorph energy (0 for the lowest one)   1162 meV per atom
Size of the total moment   0.00 μB/f.u.
Energy relative to the elements, uncorrected   2.4820 eV per atom
Space-group type   P4/mmm
V   139.1 Å³ per cell

a = 4.2212 Å, b = 4.2212 Å, c = 7.8083 Å
α = 90.00°, β = 90.00°, γ = 90.00°
With the nearest neighbours (Å) after each atom.
Element x y z (fractional)
1 Cs 0.0000 0.0000 0.0000  4 N 2.11
2 Pt 0.5000 0.5000 0.5000  4 I 2.98
3 I 0.0000 0.0000 0.5000  4 Pt 2.98
4 N 0.0000 0.5000 0.0000  2 Cs 2.11
5 N 0.5000 0.0000 0.0000  2 Cs 2.11


Below is a geometry-optimized Li2PF structure, with properties calculated at the GGA-PBE level.

Computed properties:
Polymorph energy (0 for the lowest one)   0 meV per atom
Size of the total moment   0.00 μB/f.u.
Energy relative to the elements, uncorrected   -1.2848 eV per atom
Space-group type   I-42d
V   226.5 Å³ per cell

a = 5.6111 Å, b = 5.6111 Å, c = 7.1943 Å
α = 90.00°, β = 90.00°, γ = 90.00°
With the nearest neighbours (Å) after each atom.
Element x y z (fractional)
1 Li 0.1378 0.2500 0.1250  2 F 1.84
2 Li 0.2500 0.6378 0.3750  2 F 1.84
3 Li 0.2500 0.8622 0.8750  2 F 1.84
4 Li 0.3622 0.2500 0.6250  2 F 1.84
5 Li 0.6378 0.7500 0.6250  2 F 1.84
6 Li 0.7500 0.1378 0.8750  2 F 1.84
7 Li 0.7500 0.3622 0.3750  2 F 1.84
8 Li 0.8622 0.7500 0.1250  2 F 1.84
9 P 0.0000 0.0000 0.5000  4 Li 2.63
10 P 0.0000 0.5000 0.7500  4 Li 2.63
11 P 0.5000 0.0000 0.2500  4 Li 2.63
12 P 0.5000 0.5000 0.0000  4 Li 2.63
13 F 0.0000 0.0000 0.0000  4 Li 1.84
14 F 0.0000 0.5000 0.2500  4 Li 1.84
15 F 0.5000 0.0000 0.7500  4 Li 1.84
16 F 0.5000 0.5000 0.5000  4 Li 1.84


Below is a geometry-optimized Zr2Be4PdPt3 structure, with properties calculated at the GGA-PBE level.

Computed properties:
Formation energy   -0.72 eV per atom
Size of the total moment   0.00 μB/f.u.
Space-group type   P-4m2
V   142.5 Å³ per cell

a = 3.9533 Å, b = 3.9533 Å, c = 9.1209 Å
α = 90.00°, β = 90.00°, γ = 90.00°
With the nearest neighbours (Å) after each atom.
Element x y z (fractional)
1 Zr 0.0000 0.5000 0.2434  8 Be 2.97-3.02, 6 Pt 2.99-3.06, 2 Pd 3.06
2 Zr 0.5000 0.0000 0.7566  8 Be 2.97-3.02, 6 Pt 2.99-3.06, 2 Pd 3.06
3 Be 0.0000 0.0000 0.0000  4 Pt 2.29
4 Be 0.0000 0.5000 0.6309  3 Pt 2.21-2.31, 2 Pd 2.31
5 Be 0.5000 0.0000 0.3691  3 Pt 2.21-2.31, 2 Pd 2.31
6 Be 0.5000 0.5000 0.0000  4 Pt 2.29
7 Pd 0.0000 0.0000 0.5000  4 Be 2.31
8 Pt 0.0000 0.5000 0.8736  5 Be 2.21-2.29
9 Pt 0.5000 0.0000 0.1264  5 Be 2.21-2.29
10 Pt 0.5000 0.5000 0.5000  4 Be 2.31


Below is a geometry-optimized Ba2ZnCu structure, with properties calculated at the GGA-PBE level.

Computed properties:
Formation energy   0.05 eV per atom
Size of the total moment   0.00 μB/f.u.
Space-group type   C2/m
V   312.5 Å³ per cell

a = 8.2175 Å, b = 4.7387 Å, c = 8.4747 Å
α = 90.00°, β = 108.72°, γ = 90.00°
With the nearest neighbours (Å) after each atom.
Element x y z (fractional)
1 Ba 0.2432 0.0000 0.2299  3 Cu 3.30, 3 Zn 3.49
2 Ba 0.2568 0.5000 0.7701  3 Cu 3.30, 3 Zn 3.49
3 Ba 0.7432 0.5000 0.2299  3 Cu 3.30, 3 Zn 3.49
4 Ba 0.7568 0.0000 0.7701  3 Cu 3.30, 3 Zn 3.49
5 Zn 0.0000 0.0000 0.5000  6 Ba 3.49
6 Zn 0.5000 0.5000 0.5000  6 Ba 3.49
7 Cu 0.0000 0.5000 0.0000  6 Ba 3.30
8 Cu 0.5000 0.0000 0.0000  6 Ba 3.30


Below is a geometry-optimized LiP2Cl structure, with properties calculated at the GGA-PBE level.

Computed properties:
Polymorph energy (0 for the lowest one)   609 meV per atom
Size of the total moment   0.01 μB/f.u.
Energy relative to the elements, uncorrected   -0.1146 eV per atom
Space-group type   Cmmm
V   201.9 Å³ per cell

a = 4.3252 Å, b = 15.6991 Å, c = 2.9733 Å
α = 90.00°, β = 90.00°, γ = 90.00°
With the nearest neighbours (Å) after each atom.
Element x y z (fractional)
1 Li 0.0000 0.0000 0.0000  2 Cl 2.16
2 Li 0.5000 0.5000 0.0000  2 Cl 2.16
3 P 0.2500 0.2500 0.5000  2 P 2.16
4 P 0.2500 0.7500 0.5000  2 P 2.16
5 P 0.7500 0.2500 0.5000  2 P 2.16
6 P 0.7500 0.7500 0.5000  2 P 2.16
7 Cl 0.0000 0.5000 0.0000  2 Li 2.16
8 Cl 0.5000 0.0000 0.0000  2 Li 2.16